1.
The following is a DFT calculation (PBE-GGA) of a relaxed structure of ReAgP.

Values from the calculation:
Total magnetic moment   0.000 μB/atom
Symmetry   No. 156
E_form   2.57 kcal/mol of atoms
Relative energy among the computed polymorphs   73 meV per atom

```
ReAgP
1.0
-0.324 -2.696 1.221
1.480 0.305 -2.565
5.520 0.823 3.284
Re Ag P
1 1 1
direct
0.667 0.333 0.959 Re
0.000 0.000 0.591 Ag
0.000 0.000 0.205 P
```

2.
The following is a DFT calculation (PBE-GGA) of a relaxed structure of KCoTe2.

Values from the calculation:
Formation energy from raw total energies   -0.13 eV/atom
Total magnetic moment   0.005 μB/atom
Symmetry   No. 44

```
KCoTe2
1.0
8.689 0.365 -0.084
7.023 5.130 0.084
-7.775 -2.979 2.514
Co K Te
1 1 2
direct
0.547 0.547 0.000 Co
0.308 0.808 0.500 K
0.985 0.985 0.000 Te
0.660 0.160 0.500 Te
```

3.
The following is a DFT calculation (PBE-GGA) of a relaxed structure of NaCr2RuPb.

Values from the calculation:
Total magnetic moment   1.252 μB/atom
Symmetry   No. 123
E_form   22.56 kcal/mol of atoms

```
NaCr2RuPb
1.0
-3.516 -3.050 -0.427
2.857 -2.808 -3.472
1.771 -2.533 3.506
Pb Ru Na Cr
1 1 1 2
direct
0.500 0.500 0.500 Pb
0.000 0.000 0.000 Ru
0.000 0.500 0.000 Na
0.000 0.000 0.500 Cr
0.500 0.000 0.000 Cr
```

4.
The following is a DFT calculation (PBE-GGA) of a relaxed structure of Co3GeI.

Values from the calculation:
Formation energy from raw total energies   1.40 eV/atom
Total magnetic moment   0.423 μB/atom
Symmetry   No. 221

```
Co3GeI
1.0
-0.270 -3.769 2.646
3.438 -1.928 -2.397
3.064 1.832 2.922
I Ge Co
1 1 3
direct
0.000 0.000 0.000 I
0.500 0.500 0.500 Ge
0.000 0.500 0.000 Co
0.000 0.000 0.500 Co
0.500 0.000 0.000 Co
```

5.
The following is a DFT calculation (PBE-GGA) of a relaxed structure of PmTh2Se3.

Values from the calculation:
Formation energy from raw total energies   -1.63 eV/atom
Total magnetic moment   0.000 μB/atom
Symmetry   No. 14

```
PmTh2Se3
1.0
5.942 -0.009 0.000
0.013 8.282 0.000
0.000 0.000 12.778
Pm Th Se
4 8 12
direct
0.250 0.872 0.083 Pm
0.250 0.372 0.417 Pm
0.750 0.628 0.583 Pm
0.750 0.128 0.917 Pm
0.252 0.876 0.750 Th
0.252 0.376 0.750 Th
0.250 0.878 0.417 Th
0.250 0.378 0.083 Th
0.750 0.622 0.917 Th
0.750 0.122 0.583 Th
0.748 0.624 0.250 Th
0.748 0.124 0.250 Th
0.250 0.624 0.582 Se
0.250 0.124 0.918 Se
0.250 0.628 0.917 Se
0.250 0.128 0.583 Se
0.248 0.625 0.252 Se
0.248 0.125 0.248 Se
0.752 0.875 0.752 Se
0.752 0.375 0.748 Se
0.750 0.872 0.417 Se
0.750 0.372 0.083 Se
0.750 0.876 0.082 Se
0.750 0.376 0.418 Se
```

6.
The following is a DFT calculation (PBE-GGA) of a relaxed structure of Zr3PtW.

Values from the calculation:
Total magnetic moment   0.190 μB/atom
Symmetry   No. 221
E_form   20.15 kcal/mol of atoms
Relative energy among the computed polymorphs   24 meV per atom

```
Zr3PtW
1.0
5.012 0.000 0.000
0.000 5.012 0.000
0.000 0.000 5.012
Zr W Pt
3 1 1
direct
0.000 0.500 0.000 Zr
0.000 0.000 0.500 Zr
0.500 0.000 0.000 Zr
0.500 0.500 0.500 W
0.000 0.000 0.000 Pt
```

7.
The following is a DFT calculation (PBE-GGA) of a relaxed structure of Tl3In8Hg3.

Values from the calculation:
Total magnetic moment   0.000 μB/atom
Symmetry   No. 12
E_form   0.47 kcal/mol of atoms

```
Tl3In8Hg3
1.0
-1.043 -0.350 -5.303
5.586 -5.858 -3.478
-5.191 -7.632 -1.241
Tl In Hg
3 8 3
direct
0.273 0.724 0.730 Tl
0.727 0.276 0.270 Tl
0.000 0.000 0.000 Tl
0.147 0.125 0.581 In
0.853 0.875 0.419 In
0.861 0.417 0.862 In
0.139 0.583 0.138 In
0.499 0.645 0.357 In
0.501 0.355 0.643 In
0.363 0.014 0.260 In
0.637 0.986 0.740 In
0.000 0.500 0.500 Hg
0.637 0.723 0.004 Hg
0.363 0.277 0.996 Hg
```

8.
The following is a DFT calculation (PBE-GGA) of a relaxed structure of Ca2TlAu2.

Values from the calculation:
Total magnetic moment   0.000 μB/atom
Symmetry   No. 139
E_form   -10.94 kcal/mol of atoms

```
Ca2TlAu2
1.0
3.926 0.000 0.000
0.000 3.926 0.000
1.963 1.963 8.767
Tl Au Ca
1 2 2
direct
0.000 0.000 0.000 Tl
0.750 0.250 0.500 Au
0.250 0.750 0.500 Au
0.386 0.386 0.228 Ca
0.614 0.614 0.772 Ca
```

9.
The following is a DFT calculation (PBE-GGA) of a relaxed structure of LiAsSe.

Values from the calculation:
Formation energy from raw total energies   -0.59 eV/atom
Total magnetic moment   0.000 μB/atom
Symmetry   No. 2
Relative energy among the computed polymorphs   0 meV per atom

```
LiAsSe
1.0
-1.111 -4.237 1.234
0.249 0.771 -4.330
8.322 0.315 1.162
Li As Se
2 2 2
direct
0.670 0.682 0.352 Li
0.330 0.318 0.648 Li
0.834 0.175 0.013 As
0.166 0.825 0.987 As
0.998 0.672 0.684 Se
0.002 0.328 0.316 Se
```

10.
The following is a DFT calculation (PBE-GGA) of a relaxed structure of Fe3Pt2.

Values from the calculation:
Total magnetic moment   1.810 μB/atom
Symmetry   No. 139
E_form   -3.72 kcal/mol of atoms

```
Fe3Pt2
1.0
2.669 0.000 -0.354
-0.047 2.669 -0.354
-0.080 -0.081 9.629
Fe Pt
3 2
direct
0.702 0.702 0.404 Fe
0.298 0.298 0.596 Fe
0.500 0.500 0.000 Fe
0.898 0.898 0.797 Pt
0.102 0.102 0.203 Pt
```

11.
The following is a DFT calculation (PBE-GGA) of a relaxed structure of Bi5Pt4Pb2.

Values from the calculation:
Total magnetic moment   0.000 μB/atom
Symmetry   No. 12
E_form   0.72 kcal/mol of atoms

```
Bi5Pt4Pb2
1.0
6.583 0.000 0.000
3.291 7.135 0.308
3.291 2.140 6.961
Bi Pt Pb
5 4 2
direct
0.148 0.272 0.932 Bi
0.852 0.728 0.068 Bi
0.000 0.500 0.500 Bi
0.649 0.272 0.932 Bi
0.351 0.728 0.068 Bi
0.410 0.952 0.227 Pt
0.590 0.048 0.773 Pt
0.779 0.657 0.785 Pt
0.221 0.343 0.215 Pt
0.202 0.995 0.602 Pb
0.798 0.005 0.398 Pb
```

12.
The following is a DFT calculation (PBE-GGA) of a relaxed structure of CaSc4Ga5.

Values from the calculation:
Total magnetic moment   0.000 μB/atom
Symmetry   No. 123
E_form   -12.84 kcal/mol of atoms

```
CaSc4Ga5
1.0
3.408 0.000 0.000
0.000 3.408 0.000
0.000 0.000 17.177
Ca Sc Ga
1 4 5
direct
0.000 0.000 0.000 Ca
0.000 0.000 0.212 Sc
0.000 0.000 0.404 Sc
0.000 0.000 0.596 Sc
0.000 0.000 0.788 Sc
0.500 0.500 0.117 Ga
0.500 0.500 0.308 Ga
0.500 0.500 0.500 Ga
0.500 0.500 0.692 Ga
0.500 0.500 0.883 Ga
```

Calculated values (states/eV/f.u.) of density of states at the Fermi level for the records, taken in order: 3.04 3.24 3.95 6.01 4.57 6.78 6.24 3.88 0.09 3.43 6.24 5.03.